DFT (PBE) results for NaBeZn2Cr after structural relaxation.

Cell and atoms, written as CIF:
```
data_NaBeZn2Cr
_chemical_formula_sum 'Na1 Be1 Zn2 Cr1'
_cell_length_a 4.247
_cell_length_b 4.247
_cell_length_c 4.514
_cell_angle_alpha 90.00
_cell_angle_beta 90.00
_cell_angle_gamma 90.00
_symmetry_space_group_name_H-M 'P 4/m m m'
_symmetry_Int_Tables_number 123
_symmetry_space_group_name_Hall '-P 4 2'
loop_
_atom_site_label
_atom_site_fract_x
_atom_site_fract_y
_atom_site_fract_z
Na1 0.000 0.000 0.000
Be1 0.000 0.000 0.500
Zn1 0.000 0.500 0.500
Cr1 0.500 0.500 0.000
```


# Be2NbCr2 PBE optimized geometry
# - energy above the most stable polymorph in this dataset (meV/atom) = 268
data_Be2NbCr2
_chemical_formula_sum 'Be4 Nb2 Cr4'
_cell_length_a 6.857
_cell_length_b 6.857
_cell_length_c 2.514
_cell_angle_alpha 90.00
_cell_angle_beta 90.00
_cell_angle_gamma 90.00
_symmetry_space_group_name_H-M 'P 4/m b m'
_symmetry_Int_Tables_number 127
_symmetry_space_group_name_Hall '-P 4 2ab'
loop_
_atom_site_label
_atom_site_fract_x
_atom_site_fract_y
_atom_site_fract_z
Be1 0.179 0.321 0.000
Nb1 0.000 0.000 0.500
Cr1 0.115 0.615 0.500


# Be9Nb2Cr PBE optimized geometry
# - energy above the most stable polymorph in this dataset (meV/atom) = 0
data_Be9Nb2Cr
_chemical_formula_sum 'Be27 Nb6 Cr3'
_cell_length_a 4.4816
_cell_length_b 4.4816
_cell_length_c 20.8432
_cell_angle_alpha 90.00
_cell_angle_beta 90.00
_cell_angle_gamma 120.00
_symmetry_space_group_name_H-M 'R -3 m'
_symmetry_Int_Tables_number 166
_symmetry_space_group_name_Hall '-R 3 2"'
loop_
_atom_site_label
_atom_site_fract_x
_atom_site_fract_y
_atom_site_fract_z
Be1 0.0000 0.0000 0.0000
Be2 0.0000 0.0000 0.1658
Be3 0.0039 0.5019 0.4201
Nb1 0.0000 0.0000 0.3598
Cr1 0.0000 0.0000 0.5000


no.,total DFT energy (no corrections) (eV/atom),M_tot (μB per atom)
1,-2.38,0.03
2,-7.17,0.00
3,-5.40,0.02